w | BaLaCu3 PBE-GGA optimized geometry; symmetry = No. 221; magnetic moment = 0.00 μB/cell
1.0
-1.1725 1.5077 5.0104
4.2788 -2.6790 1.8074
3.0115 4.3934 -0.6174
Cu La Ba
3 1 1
direct
0.0000 0.5000 0.0000 Cu
0.0000 0.0000 0.5000 Cu
0.5000 0.0000 0.0000 Cu
0.5000 0.5000 0.5000 La
0.0000 0.0000 0.0000 Ba

x | BaLaCu3 PBE-GGA optimized geometry; symmetry = No. 221; magnetic moment = 0.00 μB/cell
1.0
5.3941 0.0000 0.0000
0.0000 5.3941 0.0000
0.0000 0.0000 5.3941
La Cu Ba
1 3 1
direct
0.0000 0.0000 0.0000 La
0.0000 0.0000 0.5000 Cu
0.5000 0.0000 0.0000 Cu
0.0000 0.5000 0.0000 Cu
0.5000 0.5000 0.5000 Ba

We find x to be the most stable, with the next structure 0.444 eV/atom higher.

w | BaLa3Cu PBE-GGA optimized geometry; symmetry = No. 221; magnetic moment = 0.00 μB/cell
1.0
-4.5724 0.8277 3.6500
0.2657 -5.6762 1.6200
3.7332 1.4177 4.3552
La Cu Ba
3 1 1
direct
0.0000 0.5000 0.0000 La
0.5000 0.0000 0.0000 La
0.0000 0.0000 0.5000 La
0.5000 0.5000 0.5000 Cu
0.0000 0.0000 0.0000 Ba

x | BaLa3Cu PBE-GGA optimized geometry; symmetry = No. 221; magnetic moment = 0.00 μB/cell
1.0
5.8331 0.0000 0.0000
0.0000 5.8331 0.0000
0.0000 0.0000 5.8331
La Cu Ba
3 1 1
direct
0.5000 0.0000 0.0000 La
0.0000 0.0000 0.5000 La
0.0000 0.5000 0.0000 La
0.0000 0.0000 0.0000 Cu
0.5000 0.5000 0.5000 Ba

We find x to be the most stable, with the next structure 0.977 eV/atom higher.

w | BaLaTiCuO6 PBE-GGA optimized geometry; symmetry = No. 216; magnetic moment = 1.72 μB/cell
1.0
0.0000 4.1509 4.1509
4.1509 0.0000 4.1509
4.1509 4.1509 0.0000
O Ba Ti Cu La
6 1 1 1 1
direct
0.7716 0.2284 0.7716 O
0.7716 0.7716 0.2284 O
0.2284 0.7716 0.2284 O
0.2284 0.2284 0.7716 O
0.2284 0.7716 0.7716 O
0.7716 0.2284 0.2284 O
0.2500 0.2500 0.2500 Ba
0.7500 0.7500 0.7500 Ti
0.0000 0.0000 0.0000 Cu
0.5000 0.5000 0.5000 La

x | BaLaTiCuO6 PBE-GGA optimized geometry; symmetry = No. 216; magnetic moment = 1.23 μB/cell
1.0
0.0000 3.9722 3.9722
3.9722 0.0000 3.9722
3.9722 3.9722 0.0000
O Ti Cu La Ba
6 1 1 1 1
direct
0.5032 0.5032 0.9968 O
0.9968 0.9968 0.5032 O
0.5032 0.9968 0.5032 O
0.5032 0.9968 0.9968 O
0.9968 0.5032 0.9968 O
0.9968 0.5032 0.5032 O
0.7500 0.7500 0.7500 Ti
0.2500 0.2500 0.2500 Cu
0.5000 0.5000 0.5000 La
0.0000 0.0000 0.0000 Ba

We find x to be the most stable, with the next structure 0.939 eV/atom higher.

w | BaLiCu2 PBE-GGA optimized geometry; symmetry = No. 141; magnetic moment = 0.00 μB/cell
1.0
4.9405 0.0000 0.0000
0.0000 4.9405 0.0000
2.4703 2.4703 8.4312
Cu Li Ba
4 2 2
direct
0.3751 0.1250 0.2500 Cu
0.3750 0.6249 0.7500 Cu
0.8750 0.6251 0.7500 Cu
0.3749 0.6250 0.2500 Cu
0.2500 0.7500 0.5000 Li
0.5000 0.5000 0.0000 Li
0.0000 0.0000 0.0000 Ba
0.7500 0.2500 0.5000 Ba

x | BaLiCu2 PBE-GGA optimized geometry; symmetry = No. 65; magnetic moment = 0.00 μB/cell
1.0
-0.7715 4.3365 -2.5935
-3.0459 1.7043 3.7343
2.9286 1.5316 1.6897
Li Cu Ba
1 2 1
direct
0.5000 0.0000 0.5000 Li
0.0000 0.0000 0.0000 Cu
0.5000 0.5000 0.0000 Cu
0.0000 0.5000 0.5000 Ba

We find w to be the most stable, with the next structure 0.143 eV/atom higher.

w | BaLi2Cu PBE-GGA optimized geometry; symmetry = No. 123; magnetic moment = 0.00 μB/cell
1.0
3.5606 -0.0493 0.0000
0.0456 3.5606 0.0000
0.0000 0.0000 7.7096
Li Ba Cu
2 1 1
direct
0.0000 0.0000 0.5900 Li
0.0000 0.0000 0.9100 Li
0.5000 0.5000 0.2500 Ba
0.5000 0.5000 0.7500 Cu

x | BaLi2Cu PBE-GGA optimized geometry; symmetry = No. 141; magnetic moment = 0.00 μB/cell
1.0
-4.0776 2.6357 -1.0331
-0.9142 -2.9404 -3.8935
-7.5990 -5.8815 3.0617
Li Ba Cu
4 2 2
direct
0.3750 0.6253 0.7500 Li
0.8750 0.6247 0.7500 Li
0.3747 0.1250 0.2500 Li
0.3753 0.6250 0.2500 Li
0.0000 0.0000 0.0000 Ba
0.7500 0.2500 0.5000 Ba
0.5000 0.5000 0.0000 Cu
0.2500 0.7500 0.5000 Cu

We find x to be the most stable, with the next structure 0.023 eV/atom higher.

w | BaLi2Cu PBE-GGA optimized geometry; symmetry = No. 166; magnetic moment = 0.49 μB/cell
1.0
-0.7997 -6.3758 1.1339
1.0182 -4.3214 4.7817
-3.4457 -3.9144 3.9217
Li Ba Cu
2 1 1
direct
0.0568 0.0568 0.0568 Li
0.4432 0.4432 0.4432 Li
0.2500 0.2500 0.2500 Ba
0.7500 0.7500 0.7500 Cu

x | BaLi2Cu PBE-GGA optimized geometry; symmetry = No. 12; magnetic moment = 0.00 μB/cell
1.0
4.9106 -0.0022 0.0076
3.1612 3.7578 0.0076
1.4025 0.6525 5.6933
Ba Li Cu
1 2 1
direct
0.7500 0.7500 0.7500 Ba
0.5575 0.5575 0.3390 Li
0.9425 0.9425 0.1610 Li
0.2500 0.2500 0.2500 Cu

y | BaLi2Cu PBE-GGA optimized geometry; symmetry = No. 123; magnetic moment = 0.00 μB/cell
1.0
-0.4081 -4.1204 1.6636
4.2951 -0.7930 -0.9139
1.4423 1.9209 5.1115
Ba Cu Li
1 1 2
direct
0.5000 0.0000 0.5000 Ba
0.0000 0.5000 0.5000 Cu
0.5000 0.5000 0.0000 Li
0.0000 0.0000 0.0000 Li

We find x to be the most stable, with the next structure 0.014 eV/atom higher.